! CsMgNbO4 PBE-GGA relaxed; values from VASP
&SYSTEM
  ibrav = 0, nat = 14, ntyp = 4
/
ATOMIC_SPECIES
Mg 24.30 Mg.upf
O 16.00 O.upf
Nb 92.91 Nb.upf
Cs 132.91 Cs.upf
CELL_PARAMETERS angstrom
-0.557 0.912 -5.735
0.648 -5.885 -0.999
-8.173 -1.919 6.005
ATOMIC_POSITIONS crystal
Mg 0.131 0.250 0.520
Mg 0.869 0.750 0.480
O 0.894 0.750 0.087
O 0.963 0.488 0.621
O 0.521 0.250 0.669
O 0.479 0.750 0.331
O 0.106 0.250 0.913
O 0.963 0.012 0.621
O 0.037 0.988 0.379
O 0.037 0.512 0.379
Nb 0.870 0.250 0.705
Nb 0.130 0.750 0.295
Cs 0.264 0.750 0.964
Cs 0.736 0.250 0.036
! magnetic moment	0.00	μB per formula unit
! formation energy from raw total energies	-17.19	eV/f.u.